Record 1
Density functional theory data (PBE) for crystalline RbSbTe2Cl at its relaxed geometry.

The structure belongs to space group P4/mmm (No. 123); the cell edges are 5.868, 5.868 and 5.304 Å and the angles 90.00°, 90.00° and 90.00°. The inequivalent atoms are Rb at (0.000, 0.000, 0.000), Sb at (0.500, 0.500, 0.000), Te at (0.000, 0.500, 0.500) and Cl at (0.500, 0.500, 0.500).

The crystal system is tetragonal. The value obtained for the density is 4.5 g/cm³. The excess energy over the best structure of this formula in the dataset comes out at 0.00 eV/f.u. For the density of states at the Fermi level, the calculation gives 1.132 states/eV/atom. For the size of the total moment, the calculation gives 0.7 μB per cell. The value obtained for the uncorrected formation energy is 0.80 eV/f.u.

---

Record 2
Density functional theory data (PBE) for crystalline InBiSb2Au4 at its relaxed geometry.

The structure belongs to space group Fmm2 (No. 42); the cell edges are 8.274, 11.443 and 8.234 Å and the angles 90.00°, 90.00° and 90.00°. The inequivalent atoms are In at (0.000, 0.000, 0.000), Bi at (0.000, 0.000, 0.504), Sb at (0.250, 0.250, 0.255), Au at (0.000, 0.242, 0.005) and Au at (0.248, 0.000, 0.252).

The crystal system is orthorhombic. The value obtained for the density is 11.5 g/cm³. For the density of states at the Fermi level, the calculation gives 0.601 states/eV/atom. For the size of the total moment, the calculation gives 0.0 μB per cell. The value obtained for the uncorrected formation energy is -0.55 eV/f.u.

---

Record 3
Density functional theory data (PBE) for crystalline MgTa2Cl at its relaxed geometry.

The structure belongs to space group Imm2 (No. 44); the cell edges are 3.040, 5.210 and 9.617 Å and the angles 90.00°, 90.00° and 90.00°. The inequivalent atoms are Mg at (0.000, 0.000, 0.000), Ta at (0.000, 0.000, 0.478), Ta at (0.000, 0.500, 0.219) and Cl at (0.000, 0.500, 0.764).

The crystal system is orthorhombic. The value obtained for the density is 9.2 g/cm³. The excess energy over the best structure of this formula in the dataset comes out at 2.01 eV/f.u. For the density of states at the Fermi level, the calculation gives 0.895 states/eV/atom. For the size of the total moment, the calculation gives 0.0 μB per cell. The value obtained for the uncorrected formation energy is 1.76 eV/f.u.

---

Record 4
Density functional theory data (PBE) for crystalline KCdAg3 at its relaxed geometry.

The structure belongs to space group Imma (No. 74); the cell edges are 5.664, 10.089 and 9.698 Å and the angles 90.00°, 90.00° and 90.00°. The inequivalent atoms are K at (0.000, 0.250, 0.055), Cd at (0.000, 0.000, 0.500), Ag at (0.000, 0.250, 0.663) and Ag at (0.250, 0.024, 0.750).

The crystal system is orthorhombic. The value obtained for the formation enthalpy at 0 K is 0.02 eV per atom. The value obtained for the density is 5.7 g/cm³. The excess energy over the best structure of this formula in the dataset comes out at 0.00 eV/f.u. For the density of states at the Fermi level, the calculation gives 0.295 states/eV/atom. For the size of the total moment, the calculation gives 0.0 μB per cell.

---

Record 5
Density functional theory data (PBE) for crystalline Ca2Sn3Pb3 at its relaxed geometry.

The structure belongs to space group Pmmm (No. 47); the cell edges are 4.850, 4.871 and 9.702 Å and the angles 90.00°, 90.00° and 90.00°. The inequivalent atoms are Ca at (0.000, 0.000, 0.244), Sn at (0.000, 0.500, 0.000), Sn at (0.500, 0.500, 0.247), Pb at (0.000, 0.500, 0.500), Pb at (0.500, 0.000, 0.000) and Pb at (0.500, 0.000, 0.500).

The crystal system is orthorhombic. The value obtained for the formation enthalpy at 0 K is -0.34 eV per atom. The value obtained for the density is 7.7 g/cm³. For the density of states at the Fermi level, the calculation gives 0.584 states/eV/atom. For the size of the total moment, the calculation gives 0.0 μB per cell.

---

Record 6
Density functional theory data (PBE) for crystalline Zn2RePt at its relaxed geometry.

The structure belongs to space group I4/mmm (No. 139); the cell edges are 3.890, 3.890 and 7.836 Å and the angles 90.00°, 90.00° and 90.00°. The inequivalent atoms are Zn at (0.000, 0.500, 0.250), Re at (0.000, 0.000, 0.000) and Pt at (0.000, 0.000, 0.500).

The crystal system is tetragonal. The value obtained for the formation enthalpy at 0 K is 0.22 eV per atom. The value obtained for the density is 14.3 g/cm³. The excess energy over the best structure of this formula in the dataset comes out at 1.15 eV/f.u. For the density of states at the Fermi level, the calculation gives 1.290 states/eV/atom. For the size of the total moment, the calculation gives 0.0 μB per cell.

---

Record 7
Density functional theory data (PBE) for crystalline PmNi8Ge4 at its relaxed geometry.

The structure belongs to space group I4/mmm (No. 139); the cell edges are 8.237, 8.237 and 5.151 Å and the angles 90.00°, 90.00° and 90.00°. The inequivalent atoms are Pm at (0.000, 0.000, 0.000), Ni at (0.000, 0.227, 0.500), Ni at (0.000, 0.347, 0.000) and Ge at (0.250, 0.250, 0.250).

The crystal system is tetragonal. The value obtained for the formation enthalpy at 0 K is -0.28 eV per atom. The value obtained for the density is 8.6 g/cm³. For the density of states at the Fermi level, the calculation gives 0.730 states/eV/atom. For the size of the total moment, the calculation gives 0.0 μB per cell.

---

Record 8
Density functional theory data (PBE) for crystalline Sm2TmScTl2 at its relaxed geometry.

The structure belongs to space group Pmc2_1 (No. 26); the cell edges are 4.982, 9.920 and 6.844 Å and the angles 90.00°, 90.00° and 90.00°. The inequivalent atoms are Sm at (0.000, 0.045, 0.000), Sm at (0.500, 0.190, 0.278), Tm at (0.500, 0.457, 0.901), Sc at (0.000, 0.313, 0.614), Tl at (0.000, 0.384, 0.170) and Tl at (0.500, 0.148, 0.741).

The crystal system is orthorhombic. The value obtained for the formation enthalpy at 0 K is -0.25 eV per atom. The value obtained for the density is 9.1 g/cm³. For the density of states at the Fermi level, the calculation gives 1.165 states/eV/atom. For the size of the total moment, the calculation gives 0.0 μB per cell.

---

Record 9
Density functional theory data (PBE) for crystalline Dy5ThIn6 at its relaxed geometry.

The structure belongs to space group C2/m (No. 12); the cell edges are 16.892, 7.492 and 5.370 Å and the angles 90.00°, 107.69° and 90.00°. The inequivalent atoms are Dy at (0.000, 0.000, 0.000), Dy at (0.159, 0.500, 0.659), Dy at (0.170, 0.000, 0.671), Th at (0.000, 0.500, 0.000), In at (0.000, 0.233, 0.500) and In at (0.171, 0.241, 0.170).

The crystal system is monoclinic. The value obtained for the formation enthalpy at 0 K is -0.42 eV per atom. The value obtained for the density is 8.9 g/cm³. For the density of states at the Fermi level, the calculation gives 0.426 states/eV/atom. For the size of the total moment, the calculation gives 0.0 μB per cell.

---

Record 10
Density functional theory data (PBE) for crystalline Pm3HIr at its relaxed geometry.

The structure belongs to space group Pnma (No. 62); the cell edges are 7.393, 11.153 and 6.468 Å and the angles 90.00°, 90.00° and 90.00°. The inequivalent atoms are Pm at (0.062, 0.250, 0.124), Pm at (0.172, 0.085, 0.633), H at (0.237, 0.250, 0.421) and Ir at (0.000, 0.000, 0.000).

The crystal system is orthorhombic. The value obtained for the density is 7.8 g/cm³. For the density of states at the Fermi level, the calculation gives 0.793 states/eV/atom. For the size of the total moment, the calculation gives 0.0 μB per cell.

---

Record 11
Density functional theory data (PBE) for crystalline Tl2Ge3BiAu12 at its relaxed geometry.

The structure belongs to space group R-3m (No. 166, hexagonal axes); the cell edges are 8.6490, 8.6490 and 19.9026 Å and the angles 90.00°, 90.00° and 120.00°. The inequivalent atoms are Tl at (0.0000, 0.0000, 0.1086), Ge at (0.0000, 0.5000, 0.0000), Bi at (0.0000, 0.0000, 0.5000), Au at (0.0064, 0.5032, 0.3704) and Au at (0.0379, 0.5189, 0.8703).

The crystal system is trigonal. The value obtained for the formation enthalpy at 0 K is 0.19 eV per atom. The value obtained for the density is 12.4 g/cm³. For the density of states at the Fermi level, the calculation gives 0.351 states/eV/atom. For the size of the total moment, the calculation gives 0.0 μB per cell.

---

Record 12
Density functional theory data (PBE) for crystalline KLaInPd2 at its relaxed geometry.

The structure belongs to space group P4/mmm (No. 123); the cell edges are 5.182, 5.182 and 5.500 Å and the angles 90.00°, 90.00° and 90.00°. The inequivalent atoms are K at (0.000, 0.000, 0.000), La at (0.500, 0.500, 0.500), In at (0.000, 0.000, 0.500) and Pd at (0.000, 0.500, 0.000).

The crystal system is tetragonal. The value obtained for the formation enthalpy at 0 K is 0.65 eV per atom. The value obtained for the density is 5.7 g/cm³. For the density of states at the Fermi level, the calculation gives 1.204 states/eV/atom. For the size of the total moment, the calculation gives 0.0 μB per cell.

---

Per-record uncorrected energy, eV per atom: -2.484, -3.565, -6.346, -2.093, -3.735, -5.044, -5.627, -4.414, -4.325, -5.711, -3.238, -3.178